The following is a PBE calculation of a relaxed SrFe2Sb crystal, from the Alexandria database.

a = 4.3843 Å, b = 4.3843 Å, c = 6.0862 Å
α = 111.21°, β = 111.21°, γ = 59.99°
Closest atoms and distances in Å follow each position.
Element x y z (fractional)
Sr  0.0000  0.0000  0.0000  2 Fe 3.00
Fe  0.1811  0.1811  0.5428  3 Sb 2.54, 3 Fe 2.57-2.58
Fe  0.8189  0.8189  0.4572  3 Sb 2.54, 3 Fe 2.57-2.58
Sb  0.5000  0.5000  0.5000  6 Fe 2.54

The calculation puts the theoretical density at 5.793 g cm⁻³. The calculation puts the electronic total energy at -22.80 eV per cell. The size of the total moment is 3.4 μB per formula unit. The formation energy (no corrections) comes out at -17 meV per atom.

***

The following is a PBE calculation of a relaxed SrFe2Sb crystal, from the Alexandria database.

a = 5.7778 Å, b = 5.7778 Å, c = 3.2118 Å
α = 105.06°, β = 105.06°, γ = 114.72°
Closest atoms and distances in Å follow each position.
Element x y z (fractional)
Sr  0.0000  0.0000  0.0000  4 Fe 2.92, 4 Sb 3.12-3.22, 2 Sr 3.21
Fe  0.0000  0.5000  0.5000  2 Sb 2.92, 2 Sr 2.92, 6 Fe 3.12-3.22
Fe  0.5000  0.0000  0.5000  2 Sb 2.92, 2 Sr 2.92, 6 Fe 3.12-3.22
Sb  0.5000  0.5000  0.0000  4 Fe 2.92, 4 Sr 3.12-3.22, 2 Sb 3.21

The calculation puts the theoretical density at 6.247 g cm⁻³. The calculation puts the electronic total energy at -20.19 eV per cell. The size of the total moment is 5.2 μB per formula unit. The formation energy (no corrections) comes out at 635 meV per atom.

***

The following is a PBE calculation of a relaxed Sr2FeSb crystal, from the Alexandria database.

a = 3.7468 Å, b = 3.7468 Å, c = 9.0410 Å
α = 90.00°, β = 90.00°, γ = 90.00°
Closest atoms and distances in Å follow each position.
Element x y z (fractional)
Sr  0.0000  0.0000  0.0000  1 Fe 3.20, 4 Sb 3.51
Sr  0.5000  0.5000  0.3889  1 Sb 3.23, 4 Fe 3.53
Fe  0.0000  0.0000  0.6462  4 Sb 2.80
Sb  0.5000  0.5000  0.7458  4 Fe 2.80

The calculation puts the theoretical density at 4.616 g cm⁻³. The calculation puts the electronic total energy at -15.76 eV per cell. The size of the total moment is 2.3 μB per formula unit. The formation energy (no corrections) comes out at 48 meV per atom.

***

The following is a PBE calculation of a relaxed SrFe2Sb crystal, from the Alexandria database.

a = 9.6469 Å, b = 9.6469 Å, c = 9.6469 Å
α = 151.27°, β = 151.27°, γ = 41.08°
Closest atoms and distances in Å follow each position.
Element x y z (fractional)
Sr  0.3750  0.6250  0.7500  4 Sb 3.39, 8 Fe 3.50
Sr  0.6250  0.3750  0.2500  4 Sb 3.39, 8 Fe 3.50
Fe  0.0000  0.0000  0.0000  2 Fe 2.39, 2 Sb 2.56
Fe  0.0000  0.0000  0.5000  2 Fe 2.39, 2 Sb 2.56
Fe  0.0000  0.5000  0.0000  2 Fe 2.39, 2 Sb 2.56
Fe  0.5000  0.0000  0.5000  2 Fe 2.39, 2 Sb 2.56
Sb  0.1250  0.8750  0.2500  4 Fe 2.56
Sb  0.8750  0.1250  0.7500  4 Fe 2.56

The calculation puts the theoretical density at 5.151 g cm⁻³. The calculation puts the electronic total energy at -43.63 eV per cell. The size of the total moment is 4.7 μB per formula unit. The formation energy (no corrections) comes out at 228 meV per atom.

***

The following is a PBE calculation of a relaxed Sr12FeSb4 crystal, from the Alexandria database.

a = 10.5902 Å, b = 10.5902 Å, c = 10.5902 Å
α = 109.47°, β = 109.47°, γ = 109.47°
Closest atoms and distances in Å follow each position.
Element x y z (fractional)
Sr  0.1168  0.8310  0.2858  2 Sb 3.24
Sr  0.1690  0.2858  0.4548  2 Sb 3.24
Sr  0.1690  0.7142  0.8832  2 Sb 3.24
Sr  0.2858  0.1168  0.8310  2 Sb 3.24
Sr  0.2858  0.4548  0.1690  2 Sb 3.24
Sr  0.4548  0.1690  0.2858  2 Sb 3.24
Sr  0.5452  0.8310  0.7142  2 Sb 3.24
Sr  0.7142  0.5452  0.8310  2 Sb 3.24
Sr  0.7142  0.8832  0.1690  2 Sb 3.24
Sr  0.8310  0.2858  0.1168  2 Sb 3.24
Sr  0.8310  0.7142  0.5452  2 Sb 3.24
Sr  0.8832  0.1690  0.7142  2 Sb 3.24
Fe  0.0000  0.0000  0.0000  12 Sr 4.06
Sb  0.0000  0.0000  0.5000  6 Sr 3.24
Sb  0.0000  0.5000  0.0000  6 Sr 3.24
Sb  0.5000  0.0000  0.0000  6 Sr 3.24
Sb  0.5000  0.5000  0.5000  6 Sr 3.24

The calculation puts the theoretical density at 2.896 g cm⁻³. The calculation puts the electronic total energy at -49.23 eV per cell. The size of the total moment is 3.4 μB per formula unit. The formation energy (no corrections) comes out at -241 meV per atom.

***

The following is a PBE calculation of a relaxed SrFe2Sb crystal, from the Alexandria database.

a = 4.6140 Å, b = 4.7247 Å, c = 4.8562 Å
α = 90.00°, β = 90.00°, γ = 90.00°
Closest atoms and distances in Å follow each position.
Element x y z (fractional)
Sr  0.0000  0.0000  0.0000  4 Sb 3.39, 8 Fe 3.52
Fe  0.5000  0.2303  0.5000  1 Fe 2.18
Fe  0.5000  0.7697  0.5000  1 Fe 2.18
Sb  0.0000  0.5000  0.5000  4 Fe 2.64

The calculation puts the theoretical density at 5.036 g cm⁻³. The calculation puts the electronic total energy at -21.68 eV per cell. The size of the total moment is 5.2 μB per formula unit. The formation energy (no corrections) comes out at 262 meV per atom.

***

The following is a PBE calculation of a relaxed Sr2FeSb crystal, from the Alexandria database.

a = 4.5197 Å, b = 6.5213 Å, c = 6.5213 Å
α = 41.99°, β = 90.00°, γ = 90.00°
Closest atoms and distances in Å follow each position.
Element x y z (fractional)
Sr  0.0000  0.0000  0.0000  3 Fe 3.39-3.63, 4 Sb 3.40
Sr  0.5000  0.2863  0.2863  4 Fe 3.41, 3 Sb 3.41-3.60
Fe  0.0000  0.7022  0.7022  2 Sb 2.69
Sb  0.5000  0.5821  0.5821  2 Fe 2.69

The calculation puts the theoretical density at 4.556 g cm⁻³. The calculation puts the electronic total energy at -16.79 eV per cell. The size of the total moment is 2.9 μB per formula unit. The formation energy (no corrections) comes out at -209 meV per atom.

***

The following is a PBE calculation of a relaxed SrFeSb2 crystal, from the Alexandria database.

a = 4.7977 Å, b = 4.7977 Å, c = 4.4491 Å
α = 90.00°, β = 90.00°, γ = 90.00°
Closest atoms and distances in Å follow each position.
Element x y z (fractional)
Sr  0.0000  0.0000  0.0000  8 Sb 3.27, 4 Fe 3.39
Fe  0.5000  0.5000  0.0000  8 Sb 3.27, 4 Sr 3.39
Sb  0.0000  0.5000  0.5000  4 Fe 3.27, 4 Sr 3.27, 4 Sb 3.39
Sb  0.5000  0.0000  0.5000  4 Fe 3.27, 4 Sr 3.27, 4 Sb 3.39

The calculation puts the theoretical density at 6.275 g cm⁻³. The calculation puts the electronic total energy at -18.23 eV per cell. The size of the total moment is 3.2 μB per formula unit. The formation energy (no corrections) comes out at 40 meV per atom.

***

The following is a PBE calculation of a relaxed SrFeSb2 crystal, from the Alexandria database.

a = 3.4808 Å, b = 3.4808 Å, c = 7.9964 Å
α = 90.00°, β = 90.00°, γ = 90.00°
Closest atoms and distances in Å follow each position.
Element x y z (fractional)
Sr  0.0000  0.0000  0.0000  8 Sb 3.47, 4 Sr 3.48
Fe  0.0000  0.0000  0.5000  8 Sb 2.91
Sb  0.5000  0.5000  0.3060  4 Fe 2.91, 1 Sb 3.10
Sb  0.5000  0.5000  0.6940  4 Fe 2.91, 1 Sb 3.10

The calculation puts the theoretical density at 6.633 g cm⁻³. The calculation puts the electronic total energy at -18.62 eV per cell. The size of the total moment is 2.3 μB per formula unit. The formation energy (no corrections) comes out at -59 meV per atom.

***

The following is a PBE calculation of a relaxed TaFe2Sb crystal, from the Alexandria database.

a = 5.1193 Å, b = 5.1193 Å, c = 5.1193 Å
α = 142.68°, β = 131.16°, γ = 63.04°
Closest atoms and distances in Å follow each position.
Element x y z (fractional)
Ta  0.0000  0.0000  0.0000  6 Fe 2.68-2.77, 4 Sb 2.85-2.93
Fe  0.2560  0.7560  0.5000  2 Fe 2.61, 4 Sb 2.68, 2 Ta 2.77
Fe  0.4884  0.4884  0.0000  2 Fe 2.61, 4 Ta 2.68, 2 Sb 2.69
Sb  0.7326  0.2326  0.5000  6 Fe 2.68-2.69, 4 Ta 2.85-2.93

The calculation puts the theoretical density at 11.371 g cm⁻³. The calculation puts the electronic total energy at -32.40 eV per cell. The size of the total moment is 3.0 μB per formula unit. The formation energy (no corrections) comes out at 124 meV per atom.

***

The following is a PBE calculation of a relaxed TaFeSb crystal, from the Alexandria database.

a = 5.4332 Å, b = 5.4332 Å, c = 5.4332 Å
α = 145.57°, β = 145.57°, γ = 49.49°
Closest atoms and distances in Å follow each position.
Element x y z (fractional)
Ta  0.0000  0.0000  0.0000  4 Fe 2.67, 1 Sb 2.97
Fe  0.6420  0.6420  0.0000  4 Ta 2.67, 4 Sb 2.76
Sb  0.3011  0.3011  0.0000  4 Fe 2.76, 5 Ta 2.97-3.00

The calculation puts the theoretical density at 11.665 g cm⁻³. The calculation puts the electronic total energy at -23.79 eV per cell. The size of the total moment is 1.5 μB per formula unit. The formation energy (no corrections) comes out at 218 meV per atom.

***

The following is a PBE calculation of a relaxed TaFe2Sb crystal, from the Alexandria database.

a = 4.4576 Å, b = 4.4576 Å, c = 4.4576 Å
α = 60.00°, β = 60.00°, γ = 60.00°
Closest atoms and distances in Å follow each position.
Element x y z (fractional)
Ta  0.0000  0.0000  0.0000  4 Fe 2.73, 4 Sb 2.73
Fe  0.2500  0.2500  0.2500  4 Ta 2.73, 4 Fe 2.73
Fe  0.5000  0.5000  0.5000  4 Fe 2.73, 4 Sb 2.73
Sb  0.7500  0.7500  0.7500  4 Ta 2.73, 4 Fe 2.73

The calculation puts the theoretical density at 10.987 g cm⁻³. The calculation puts the electronic total energy at -31.83 eV per cell. The size of the total moment is 3.7 μB per formula unit. The formation energy (no corrections) comes out at 266 meV per atom.